# RbAgTe2Cl (PBE, relaxed)
# ρ (g/cm3): 3.52
# ΔE_f (raw) (eV per atom): -0.26
# E_tot (eV/atom): -2.653
# M_tot (Bohr magnetons per cell): 0.5
data_RbAgTe2Cl
_space_group_name_H-M_alt 'P 4/m m m'
_space_group_IT_number 123
_space_group_name_Hall '-P 4 2'
_cell_length_a 5.261
_cell_length_b 5.261
_cell_length_c 8.260
_cell_angle_alpha 90.00
_cell_angle_beta 90.00
_cell_angle_gamma 90.00
loop_
_atom_site_label
_atom_site_type_symbol
_atom_site_fract_x
_atom_site_fract_y
_atom_site_fract_z
Rb1 Rb 0.000 0.000 0.000
Ag1 Ag 0.000 0.000 0.500
Te1 Te 0.000 0.500 0.500
Cl1 Cl 0.500 0.500 0.000